Record 1
# Ca2ReAgF | Alexandria | SCAN | single point on PBEsol structure
data_Ca2ReAgF
_chemical_formula_sum 'Ca2 Re1 Ag1 F1'
_cell_length_a 5.615
_cell_length_b 5.615
_cell_length_c 4.873
_cell_angle_alpha 90.00
_cell_angle_beta 90.00
_cell_angle_gamma 90.00
_space_group_name_H-M_alt 'P 4/m m m'
_space_group_IT_number 123
_space_group_name_Hall '-P 4 2'
loop_
_atom_site_label
_atom_site_type_symbol
_atom_site_fract_x
_atom_site_fract_y
_atom_site_fract_z
Ca1 Ca 0.000 0.500 0.000
Re1 Re 0.000 0.000 0.500
Ag1 Ag 0.000 0.000 0.000
F1 F 0.500 0.500 0.500
# D(E_F), states/eV/atom: 0.474
# Formation energy from raw total energies, meV per atom: 457



Record 2
# LiHgBr2 | Alexandria | SCAN | single point on PBEsol structure
data_LiHgBr2
_chemical_formula_sum 'Li1 Hg1 Br2'
_cell_length_a 3.915
_cell_length_b 3.725
_cell_length_c 6.870
_cell_angle_alpha 90.00
_cell_angle_beta 97.23
_cell_angle_gamma 90.00
_space_group_name_H-M_alt 'P 1 2/m 1'
_space_group_IT_number 10
loop_
_space_group_symop_operation_xyz
'x,y,z'
'-x,-y,-z'
'-x,y,-z'
'x,-y,z'
loop_
_atom_site_label
_atom_site_type_symbol
_atom_site_fract_x
_atom_site_fract_y
_atom_site_fract_z
Li1 Li 0.000 0.000 0.000
Hg1 Hg 0.500 0.000 0.500
Br1 Br 0.158 0.500 0.767
# D(E_F), states/eV/atom: 0.573
# Formation energy from raw total energies, meV per atom: -741
# Energy relative to the lowest polymorph listed for this composition, meV per atom: 75



Record 3
# Ca2PdSN | Alexandria | SCAN | single point on PBEsol structure
data_Ca2PdSN
_chemical_formula_sum 'Ca2 Pd1 S1 N1'
_cell_length_a 4.913
_cell_length_b 4.913
_cell_length_c 3.797
_cell_angle_alpha 90.00
_cell_angle_beta 90.00
_cell_angle_gamma 90.00
_space_group_name_H-M_alt 'P 4/m m m'
_space_group_IT_number 123
_space_group_name_Hall '-P 4 2'
loop_
_atom_site_label
_atom_site_type_symbol
_atom_site_fract_x
_atom_site_fract_y
_atom_site_fract_z
Ca1 Ca 0.000 0.500 0.000
Pd1 Pd 0.000 0.000 0.500
S1 S 0.500 0.500 0.500
N1 N 0.000 0.000 0.000
# D(E_F), states/eV/atom: 0.266
# Formation energy from raw total energies, meV per atom: -1200



Record 4
# Ca3NbSn | Alexandria | SCAN | single point on PBEsol structure
data_Ca3NbSn
_chemical_formula_sum 'Ca3 Nb1 Sn1'
_cell_length_a 5.806
_cell_length_b 5.806
_cell_length_c 5.806
_cell_angle_alpha 90.00
_cell_angle_beta 90.00
_cell_angle_gamma 90.00
_space_group_name_H-M_alt 'P m -3 m'
_space_group_IT_number 221
_space_group_name_Hall '-P 4 2 3'
loop_
_atom_site_label
_atom_site_type_symbol
_atom_site_fract_x
_atom_site_fract_y
_atom_site_fract_z
Ca1 Ca 0.000 0.000 0.500
Nb1 Nb 0.500 0.500 0.500
Sn1 Sn 0.000 0.000 0.000
# D(E_F), states/eV/atom: 0.749
# Formation energy, eV per atom: 0.57
# Energy relative to the lowest polymorph listed for this composition, meV per atom: 0



Record 5
# LaMg2Ir | Alexandria | SCAN | single point on PBEsol structure
data_LaMg2Ir
_chemical_formula_sum 'La1 Mg2 Ir1'
_cell_length_a 3.290
_cell_length_b 3.290
_cell_length_c 8.279
_cell_angle_alpha 90.00
_cell_angle_beta 90.00
_cell_angle_gamma 90.00
_space_group_name_H-M_alt 'P 4 m m'
_space_group_IT_number 99
loop_
_space_group_symop_operation_xyz
'x,y,z'
'-y,x,z'
'-x,-y,z'
'y,-x,z'
'-x,y,z'
'y,x,z'
'x,-y,z'
'-y,-x,z'
loop_
_atom_site_label
_atom_site_type_symbol
_atom_site_fract_x
_atom_site_fract_y
_atom_site_fract_z
La1 La 0.000 0.000 0.000
Mg1 Mg 0.000 0.000 0.606
Mg2 Mg 0.500 0.500 0.346
Ir1 Ir 0.500 0.500 0.778
# D(E_F), states/eV/atom: 0.513
# Formation energy, eV per atom: -0.37



Record 6
# NiAgAu | Alexandria | SCAN | single point on PBEsol structure
data_NiAgAu
_chemical_formula_sum 'Ni2 Ag2 Au2'
_cell_length_a 2.789
_cell_length_b 2.789
_cell_length_c 11.254
_cell_angle_alpha 90.00
_cell_angle_beta 90.00
_cell_angle_gamma 90.00
_space_group_name_H-M_alt 'I 4 m m'
_space_group_IT_number 107
_space_group_name_Hall 'I 4 -2'
loop_
_atom_site_label
_atom_site_type_symbol
_atom_site_fract_x
_atom_site_fract_y
_atom_site_fract_z
Ni1 Ni 0.000 0.000 0.000
Ag1 Ag 0.000 0.000 0.343
Au1 Au 0.000 0.000 0.654
# D(E_F), states/eV/atom: 0.868
# Formation energy, eV per atom: 0.13